[1]
# Li4CaAg | Alexandria via LeMat-Bulk | PBE-GGA | relaxed
# Formation energy = -0.086 eV/atom
data_Li4CaAg
_cell_length_a 8.0604
_cell_length_b 4.3719
_cell_length_c 7.7400
_cell_angle_alpha 90.00
_cell_angle_beta 90.00
_cell_angle_gamma 90.00
_symmetry_space_group_name_H-M 'P m m a'
_symmetry_Int_Tables_number 51
loop_
_symmetry_equiv_pos_as_xyz
'x,y,z'
'-x,-y,-z'
'-x+1/2,-y,z'
'x+1/2,y,-z'
'x+1/2,-y,-z'
'-x+1/2,y,z'
'-x,y,-z'
'x,-y,z'
loop_
_atom_site_label
_atom_site_type_symbol
_atom_site_fract_x
_atom_site_fract_y
_atom_site_fract_z
Li1 Li 0.0000 0.0000 0.0000
Li2 Li 0.0618 0.5000 0.3008
Li3 Li 0.2500 0.5000 0.9772
Ca1 Ca 0.2500 0.0000 0.6140
Ag1 Ag 0.2500 0.0000 0.2203

=====

[2]
# Be5Rh3 | Alexandria via LeMat-Bulk | PBE-GGA | relaxed
# Formation energy = -0.376 eV/atom
data_Be5Rh3
_cell_length_a 6.6942
_cell_length_b 6.6942
_cell_length_c 4.4739
_cell_angle_alpha 90.00
_cell_angle_beta 90.00
_cell_angle_gamma 120.00
_symmetry_space_group_name_H-M 'P 63/m c m'
_symmetry_Int_Tables_number 193
_symmetry_space_group_name_Hall '-P 6c 2'
loop_
_atom_site_label
_atom_site_type_symbol
_atom_site_fract_x
_atom_site_fract_y
_atom_site_fract_z
Be1 Be 0.0000 0.2446 0.2500
Be2 Be 0.3333 0.6667 0.0000
Rh1 Rh 0.0000 0.3760 0.7500

=====

[3]
# Sm6HgPd2 | Alexandria via LeMat-Bulk | PBE-GGA | relaxed
# Formation energy = -0.479 eV/atom
data_Sm6HgPd2
_cell_length_a 9.6005
_cell_length_b 10.0223
_cell_length_c 10.5774
_cell_angle_alpha 90.00
_cell_angle_beta 90.00
_cell_angle_gamma 90.00
_symmetry_space_group_name_H-M 'I m m m'
_symmetry_Int_Tables_number 71
_symmetry_space_group_name_Hall '-I 2 2'
loop_
_atom_site_label
_atom_site_type_symbol
_atom_site_fract_x
_atom_site_fract_y
_atom_site_fract_z
Sm1 Sm 0.0000 0.1934 0.2389
Sm2 Sm 0.1982 0.5000 0.1721
Sm3 Sm 0.2125 0.3198 0.5000
Hg1 Hg 0.0000 0.0000 0.0000
Hg2 Hg 0.0000 0.0000 0.5000
Pd1 Pd 0.0000 0.3471 0.0000
Pd2 Pd 0.0000 0.5000 0.3688

=====

[4]
# Sn2HgHAu | Alexandria via LeMat-Bulk | PBE-GGA | relaxed
# DFT total energy = -2.899 eV/atom
data_Sn2HgHAu
_cell_length_a 5.6111
_cell_length_b 5.6111
_cell_length_c 3.4610
_cell_angle_alpha 90.00
_cell_angle_beta 90.00
_cell_angle_gamma 90.00
_symmetry_space_group_name_H-M 'P 4/m m m'
_symmetry_Int_Tables_number 123
_symmetry_space_group_name_Hall '-P 4 2'
loop_
_atom_site_label
_atom_site_type_symbol
_atom_site_fract_x
_atom_site_fract_y
_atom_site_fract_z
Sn1 Sn 0.0000 0.5000 0.0000
Hg1 Hg 0.0000 0.0000 0.5000
H1 H 0.5000 0.5000 0.5000
Au1 Au 0.5000 0.5000 0.0000

=====

[5]
# Pu2Ga3Ge | Alexandria via LeMat-Bulk | PBE-GGA | relaxed
# Formation energy = -0.361 eV/atom
data_Pu2Ga3Ge
_cell_length_a 3.4155
_cell_length_b 4.5350
_cell_length_c 7.8955
_cell_angle_alpha 90.00
_cell_angle_beta 90.00
_cell_angle_gamma 90.00
_symmetry_space_group_name_H-M 'P m m 2'
_symmetry_Int_Tables_number 25
loop_
_symmetry_equiv_pos_as_xyz
'x,y,z'
'-x,-y,z'
'-x,y,z'
'x,-y,z'
loop_
_atom_site_label
_atom_site_type_symbol
_atom_site_fract_x
_atom_site_fract_y
_atom_site_fract_z
Pu1 Pu 0.0000 0.0000 0.0000
Pu2 Pu 0.0000 0.5000 0.4892
Ga1 Ga 0.5000 0.0000 0.6651
Ga2 Ga 0.5000 0.5000 0.1579
Ga3 Ga 0.5000 0.5000 0.8254
Ge1 Ge 0.5000 0.0000 0.3290

=====

[6]
# Dy2AlPd4 | Alexandria via LeMat-Bulk | PBE-GGA | relaxed
# Formation energy = -0.532 eV/atom
data_Dy2AlPd4
_cell_length_a 5.7111
_cell_length_b 7.5723
_cell_length_c 14.3236
_cell_angle_alpha 90.00
_cell_angle_beta 90.00
_cell_angle_gamma 90.00
_symmetry_space_group_name_H-M 'F m m m'
_symmetry_Int_Tables_number 69
_symmetry_space_group_name_Hall '-F 2 2'
loop_
_atom_site_label
_atom_site_type_symbol
_atom_site_fract_x
_atom_site_fract_y
_atom_site_fract_z
Dy1 Dy 0.0000 0.0000 0.1331
Al1 Al 0.0000 0.0000 0.5000
Pd1 Pd 0.0000 0.0000 0.3282
Pd2 Pd 0.2500 0.2500 0.0000

=====

[7]
# GaAg14Hg | Alexandria via LeMat-Bulk | PBE-GGA | relaxed
# Formation energy = 0.036 eV/atom
data_GaAg14Hg
_cell_length_a 9.6020
_cell_length_b 6.0604
_cell_length_c 9.9584
_cell_angle_alpha 90.00
_cell_angle_beta 90.00
_cell_angle_gamma 90.00
_symmetry_space_group_name_H-M 'A m m 2'
_symmetry_Int_Tables_number 38
loop_
_symmetry_equiv_pos_as_xyz
'x,y,z'
'-x,-y,z'
'-x,y,z'
'x,-y,z'
'x,y+1/2,z+1/2'
'-x,-y+1/2,z+1/2'
'-x,y+1/2,z+1/2'
'x,-y+1/2,z+1/2'
loop_
_atom_site_label
_atom_site_type_symbol
_atom_site_fract_x
_atom_site_fract_y
_atom_site_fract_z
Ga1 Ga 0.0000 0.0000 0.0000
Ag1 Ag 0.0000 0.2481 0.2513
Ag2 Ag 0.2496 0.0000 0.8287
Ag3 Ag 0.2523 0.2463 0.0789
Ag4 Ag 0.2547 0.0000 0.3292
Ag5 Ag 0.5000 0.0000 0.1563
Ag6 Ag 0.5000 0.0000 0.6553
Ag7 Ag 0.5000 0.2477 0.9061
Hg1 Hg 0.0000 0.0000 0.5017

=====

[8]
# Cu2AsSe | Alexandria via LeMat-Bulk | PBE-GGA | relaxed
# E_form (uncorrected) = 0.070 eV per atom
data_Cu2AsSe
_cell_length_a 3.0271
_cell_length_b 6.8200
_cell_length_c 6.8237
_cell_angle_alpha 90.00
_cell_angle_beta 90.00
_cell_angle_gamma 90.00
_symmetry_space_group_name_H-M 'P m m m'
_symmetry_Int_Tables_number 47
loop_
_symmetry_equiv_pos_as_xyz
'x,y,z'
'-x,-y,-z'
'-x,-y,z'
'x,y,-z'
'x,-y,-z'
'-x,y,z'
'-x,y,-z'
'x,-y,z'
loop_
_atom_site_label
_atom_site_type_symbol
_atom_site_fract_x
_atom_site_fract_y
_atom_site_fract_z
Cu1 Cu 0.0000 0.2267 0.2141
As1 As 0.5000 0.5000 0.3132
Se1 Se 0.0000 0.0000 0.5000
Se2 Se 0.5000 0.0000 0.0000

=====

[9]
# GeP2Pd8 | Alexandria via LeMat-Bulk | PBE-GGA | relaxed
# Formation energy = -0.442 eV/atom
data_GeP2Pd8
_cell_length_a 7.3061
_cell_length_b 10.6887
_cell_length_c 4.4290
_cell_angle_alpha 90.00
_cell_angle_beta 105.29
_cell_angle_gamma 90.00
_symmetry_space_group_name_H-M 'C 1 2/m 1'
_symmetry_Int_Tables_number 12
loop_
_symmetry_equiv_pos_as_xyz
'x,y,z'
'-x,-y,-z'
'-x,y,-z'
'x,-y,z'
'x+1/2,y+1/2,z'
'-x+1/2,-y+1/2,-z'
'-x+1/2,y+1/2,-z'
'x+1/2,-y+1/2,z'
loop_
_atom_site_label
_atom_site_type_symbol
_atom_site_fract_x
_atom_site_fract_y
_atom_site_fract_z
Ge1 Ge 0.0000 0.0000 0.0000
P1 P 0.0000 0.3211 0.5000
Pd1 Pd 0.0000 0.2378 0.0000
Pd2 Pd 0.1270 0.5000 0.8175
Pd3 Pd 0.1978 0.1299 0.5959

=====

[10]
# RbZn2Pt2 | Alexandria via LeMat-Bulk | PBE-GGA | relaxed
# Formation energy = -0.192 eV/atom
data_RbZn2Pt2
_cell_length_a 4.2799
_cell_length_b 4.2799
_cell_length_c 11.3534
_cell_angle_alpha 90.00
_cell_angle_beta 90.00
_cell_angle_gamma 90.00
_symmetry_space_group_name_H-M 'I 4/m m m'
_symmetry_Int_Tables_number 139
_symmetry_space_group_name_Hall '-I 4 2'
loop_
_atom_site_label
_atom_site_type_symbol
_atom_site_fract_x
_atom_site_fract_y
_atom_site_fract_z
Rb1 Rb 0.0000 0.0000 0.0000
Zn1 Zn 0.0000 0.0000 0.3782
Pt1 Pt 0.0000 0.5000 0.2500

=====

[11]
# ZrTc2P | Alexandria via LeMat-Bulk | PBE-GGA | relaxed
# Formation energy = -0.276 eV/atom
data_ZrTc2P
_cell_length_a 3.1502
_cell_length_b 3.1502
_cell_length_c 6.2185
_cell_angle_alpha 90.00
_cell_angle_beta 90.00
_cell_angle_gamma 90.00
_symmetry_space_group_name_H-M 'P 4/m m m'
_symmetry_Int_Tables_number 123
_symmetry_space_group_name_Hall '-P 4 2'
loop_
_atom_site_label
_atom_site_type_symbol
_atom_site_fract_x
_atom_site_fract_y
_atom_site_fract_z
Zr1 Zr 0.0000 0.0000 0.0000
Tc1 Tc 0.5000 0.5000 0.2805
P1 P 0.0000 0.0000 0.5000

=====

[12]
# VOs2Ru | Alexandria via LeMat-Bulk | PBE-GGA | relaxed
# Formation energy = 0.645 eV/atom
data_VOs2Ru
_cell_length_a 3.7637
_cell_length_b 3.7637
_cell_length_c 17.5008
_cell_angle_alpha 90.00
_cell_angle_beta 90.00
_cell_angle_gamma 90.00
_symmetry_space_group_name_H-M 'I -4 2 d'
_symmetry_Int_Tables_number 122
_symmetry_space_group_name_Hall 'I -4 2bw'
loop_
_atom_site_label
_atom_site_type_symbol
_atom_site_fract_x
_atom_site_fract_y
_atom_site_fract_z
V1 V 0.0000 0.0000 0.0000
Os1 Os 0.2275 0.2500 0.1250
Ru1 Ru 0.0000 0.0000 0.5000

=====

[13]
# K2CaCeSe4 | Alexandria via LeMat-Bulk | PBE-GGA | relaxed
# E_form (uncorrected) = -1.647 eV per atom
data_K2CaCeSe4
_cell_length_a 7.4198
_cell_length_b 4.3482
_cell_length_c 8.0225
_cell_angle_alpha 90.00
_cell_angle_beta 108.12
_cell_angle_gamma 90.00
_symmetry_space_group_name_H-M 'P 1 2/m 1'
_symmetry_Int_Tables_number 10
loop_
_symmetry_equiv_pos_as_xyz
'x,y,z'
'-x,-y,-z'
'-x,y,-z'
'x,-y,z'
loop_
_atom_site_label
_atom_site_type_symbol
_atom_site_fract_x
_atom_site_fract_y
_atom_site_fract_z
K1 K 0.0000 0.0000 0.0000
K2 K 0.5000 0.5000 0.0000
Ca1 Ca 0.0000 0.5000 0.5000
Ce1 Ce 0.5000 0.0000 0.5000
Se1 Se 0.2485 0.0000 0.7050
Se2 Se 0.2748 0.5000 0.2947

=====

[14]
# Al3Au5 | Alexandria via LeMat-Bulk | PBE-GGA | relaxed
# Formation energy = -0.300 eV/atom
data_Al3Au5
_cell_length_a 3.4340
_cell_length_b 3.4340
_cell_length_c 11.4872
_cell_angle_alpha 90.00
_cell_angle_beta 90.00
_cell_angle_gamma 90.00
_symmetry_space_group_name_H-M 'P 4/m m m'
_symmetry_Int_Tables_number 123
_symmetry_space_group_name_Hall '-P 4 2'
loop_
_atom_site_label
_atom_site_type_symbol
_atom_site_fract_x
_atom_site_fract_y
_atom_site_fract_z
Al1 Al 0.0000 0.0000 0.0000
Al2 Al 0.5000 0.5000 0.3690
Au1 Au 0.0000 0.0000 0.2596
Au2 Au 0.0000 0.0000 0.5000
Au3 Au 0.5000 0.5000 0.1194

=====

[15]
# Tb3Th2Sc6 | Alexandria via LeMat-Bulk | PBE-GGA | relaxed
# Formation energy = 0.226 eV/atom
data_Tb3Th2Sc6
_cell_length_a 5.8500
_cell_length_b 10.1660
_cell_length_c 10.9340
_cell_angle_alpha 90.00
_cell_angle_beta 100.48
_cell_angle_gamma 90.00
_symmetry_space_group_name_H-M 'C 1 2/m 1'
_symmetry_Int_Tables_number 12
loop_
_symmetry_equiv_pos_as_xyz
'x,y,z'
'-x,-y,-z'
'-x,y,-z'
'x,-y,z'
'x+1/2,y+1/2,z'
'-x+1/2,-y+1/2,-z'
'-x+1/2,y+1/2,-z'
'x+1/2,-y+1/2,z'
loop_
_atom_site_label
_atom_site_type_symbol
_atom_site_fract_x
_atom_site_fract_y
_atom_site_fract_z
Tb1 Tb 0.0000 0.0000 0.0000
Tb2 Tb 0.0000 0.3350 0.0000
Th1 Th 0.0000 0.1658 0.5000
Sc1 Sc 0.2469 0.3341 0.7436
Sc2 Sc 0.2485 0.0000 0.7443

=====

[16]
# Co2TcAs | Alexandria via LeMat-Bulk | PBE-GGA | relaxed
# Formation energy = 0.122 eV/atom
data_Co2TcAs
_cell_length_a 3.1485
_cell_length_b 3.9429
_cell_length_c 4.0360
_cell_angle_alpha 90.00
_cell_angle_beta 90.00
_cell_angle_gamma 90.00
_symmetry_space_group_name_H-M 'P m m m'
_symmetry_Int_Tables_number 47
loop_
_symmetry_equiv_pos_as_xyz
'x,y,z'
'-x,-y,-z'
'-x,-y,z'
'x,y,-z'
'x,-y,-z'
'-x,y,z'
'-x,y,-z'
'x,-y,z'
loop_
_atom_site_label
_atom_site_type_symbol
_atom_site_fract_x
_atom_site_fract_y
_atom_site_fract_z
Co1 Co 0.0000 0.0000 0.0000
Co2 Co 0.5000 0.0000 0.5000
Tc1 Tc 0.0000 0.5000 0.5000
As1 As 0.5000 0.5000 0.0000

=====

[17]
# LaPr4Hg | Alexandria via LeMat-Bulk | PBE-GGA | relaxed
# Formation energy = -0.151 eV/atom
data_LaPr4Hg
_cell_length_a 3.7567
_cell_length_b 3.7567
_cell_length_c 14.4464
_cell_angle_alpha 90.00
_cell_angle_beta 90.00
_cell_angle_gamma 90.00
_symmetry_space_group_name_H-M 'P 4/m m m'
_symmetry_Int_Tables_number 123
_symmetry_space_group_name_Hall '-P 4 2'
loop_
_atom_site_label
_atom_site_type_symbol
_atom_site_fract_x
_atom_site_fract_y
_atom_site_fract_z
La1 La 0.0000 0.0000 0.0000
Pr1 Pr 0.0000 0.0000 0.3598
Pr2 Pr 0.5000 0.5000 0.1814
Hg1 Hg 0.5000 0.5000 0.5000

=====

[18]
# CeP2PdRh5 | Alexandria via LeMat-Bulk | PBE-GGA | relaxed
# Formation energy = -0.444 eV/atom
data_CeP2PdRh5
_cell_length_a 3.9725
_cell_length_b 3.9725
_cell_length_c 10.3006
_cell_angle_alpha 90.00
_cell_angle_beta 90.00
_cell_angle_gamma 90.00
_symmetry_space_group_name_H-M 'P 4/m m m'
_symmetry_Int_Tables_number 123
_symmetry_space_group_name_Hall '-P 4 2'
loop_
_atom_site_label
_atom_site_type_symbol
_atom_site_fract_x
_atom_site_fract_y
_atom_site_fract_z
Ce1 Ce 0.0000 0.0000 0.0000
P1 P 0.5000 0.5000 0.2223
Pd1 Pd 0.0000 0.0000 0.5000
Rh1 Rh 0.0000 0.5000 0.3290
Rh2 Rh 0.5000 0.5000 0.0000

=====

[19]
# GaReSCl2 | Alexandria via LeMat-Bulk | PBE-GGA | relaxed
# E_form (uncorrected) = 0.762 eV per atom
data_GaReSCl2
_cell_length_a 4.8085
_cell_length_b 4.8085
_cell_length_c 4.9268
_cell_angle_alpha 90.00
_cell_angle_beta 90.00
_cell_angle_gamma 90.00
_symmetry_space_group_name_H-M 'P 4/m m m'
_symmetry_Int_Tables_number 123
_symmetry_space_group_name_Hall '-P 4 2'
loop_
_atom_site_label
_atom_site_type_symbol
_atom_site_fract_x
_atom_site_fract_y
_atom_site_fract_z
Ga1 Ga 0.0000 0.0000 0.0000
Re1 Re 0.5000 0.5000 0.5000
S1 S 0.0000 0.0000 0.5000
Cl1 Cl 0.0000 0.5000 0.0000

=====

[20]
# LiMgF3 | Alexandria via LeMat-Bulk | PBE-GGA | relaxed
# E_form (uncorrected) = -2.751 eV per atom
data_LiMgF3
_cell_length_a 3.6381
_cell_length_b 3.6381
_cell_length_c 3.6381
_cell_angle_alpha 90.00
_cell_angle_beta 90.00
_cell_angle_gamma 90.00
_symmetry_space_group_name_H-M 'P m -3 m'
_symmetry_Int_Tables_number 221
_symmetry_space_group_name_Hall '-P 4 2 3'
loop_
_atom_site_label
_atom_site_type_symbol
_atom_site_fract_x
_atom_site_fract_y
_atom_site_fract_z
Li1 Li 0.0000 0.0000 0.0000
Mg1 Mg 0.5000 0.5000 0.5000
F1 F 0.0000 0.0000 0.5000

=====

[21]
# Sm7Y4Th | Alexandria via LeMat-Bulk | PBE-GGA | relaxed
# Formation energy = 0.156 eV/atom
data_Sm7Y4Th
_cell_length_a 6.1303
_cell_length_b 6.9975
_cell_length_c 10.0667
_cell_angle_alpha 110.27
_cell_angle_beta 90.34
_cell_angle_gamma 90.01
_symmetry_space_group_name_H-M 'P -1'
_symmetry_Int_Tables_number 2
loop_
_symmetry_equiv_pos_as_xyz
'x,y,z'
'-x,-y,-z'
loop_
_atom_site_label
_atom_site_type_symbol
_atom_site_fract_x
_atom_site_fract_y
_atom_site_fract_z
Sm1 Sm 0.0000 0.0000 0.0000
Sm2 Sm 0.2499 0.8148 0.6303
Sm3 Sm 0.2531 0.4654 0.9292
Sm4 Sm 0.2554 0.2893 0.5788
Y1 Y 0.2472 0.4006 0.2744
Y2 Y 0.2474 0.8738 0.2747
Th1 Th 0.5000 0.0000 0.0000

=====

[22]
# Pm2PuHg6 | Alexandria via LeMat-Bulk | PBE-GGA | relaxed
# Formation energy = -0.338 eV/atom
data_Pm2PuHg6
_cell_length_a 8.7966
_cell_length_b 8.7966
_cell_length_c 3.3583
_cell_angle_alpha 90.00
_cell_angle_beta 90.00
_cell_angle_gamma 120.00
_symmetry_space_group_name_H-M 'P 6/m m m'
_symmetry_Int_Tables_number 191
_symmetry_space_group_name_Hall '-P 6 2'
loop_
_atom_site_label
_atom_site_type_symbol
_atom_site_fract_x
_atom_site_fract_y
_atom_site_fract_z
Pm1 Pm 0.3333 0.6667 0.0000
Pu1 Pu 0.0000 0.0000 0.0000
Hg1 Hg 0.0000 0.3333 0.5000

=====

[23]
# AlBMo2As | Alexandria via LeMat-Bulk | PBE-GGA | relaxed
# Formation energy = 1.323 eV/atom
data_AlBMo2As
_cell_length_a 4.7546
_cell_length_b 4.7546
_cell_length_c 3.7745
_cell_angle_alpha 90.00
_cell_angle_beta 90.00
_cell_angle_gamma 90.00
_symmetry_space_group_name_H-M 'P 4/m m m'
_symmetry_Int_Tables_number 123
_symmetry_space_group_name_Hall '-P 4 2'
loop_
_atom_site_label
_atom_site_type_symbol
_atom_site_fract_x
_atom_site_fract_y
_atom_site_fract_z
Al1 Al 0.0000 0.0000 0.0000
B1 B 0.5000 0.5000 0.0000
Mo1 Mo 0.0000 0.5000 0.5000
As1 As 0.5000 0.5000 0.5000

=====

[24]
# SrSeBr | Alexandria via LeMat-Bulk | PBE-GGA | relaxed
# E_form (uncorrected) = -1.309 eV per atom
data_SrSeBr
_cell_length_a 4.1565
_cell_length_b 4.1565
_cell_length_c 11.0057
_cell_angle_alpha 90.00
_cell_angle_beta 90.00
_cell_angle_gamma 90.00
_symmetry_space_group_name_H-M 'I 4 m m'
_symmetry_Int_Tables_number 107
_symmetry_space_group_name_Hall 'I 4 -2'
loop_
_atom_site_label
_atom_site_type_symbol
_atom_site_fract_x
_atom_site_fract_y
_atom_site_fract_z
Sr1 Sr 0.0000 0.0000 0.0000
Se1 Se 0.0000 0.0000 0.4012
Br1 Br 0.0000 0.0000 0.6712

=====

Per-record M_tot, μB per cell: 0.00 0.00 0.00 0.00 0.04 0.00 0.00 0.00 0.00 0.00 0.00 0.00 0.00 0.00 0.00 0.79 0.00 0.68 5.43 0.00 0.00 6.17 1.60 1.76